No. 1
Density functional theory data (PBE) for a relaxed structure of AcPmAlRh.

Unit cell a=5.2806 b=5.2806 c=5.2806 alpha=60.00 beta=60.00 gamma=60.00
Closest atoms and distances in Å follow each position.
Element x y z (fractional)
Ac 0.7500 0.7500 0.7500  4 Rh 3.23, 4 Al 3.23
Rh 0.5000 0.5000 0.5000  4 Ac 3.23, 4 Pm 3.23
Al 0.0000 0.0000 0.0000  4 Pm 3.23, 4 Ac 3.23
Pm 0.2500 0.2500 0.2500  4 Rh 3.23, 4 Al 3.23

The volume is 26.03 Å³/atom. As for the formation energy: -334 meV/atom. As for the space group: F-43m.

=====

No. 2
Density functional theory data (PBE) for a relaxed structure of CaDyPdAu.

Unit cell a=5.0305 b=5.0305 c=5.0305 alpha=60.00 beta=60.00 gamma=60.00
Closest atoms and distances in Å follow each position.
Element x y z (fractional)
Ca 0.2500 0.2500 0.2500  4 Pd 3.08, 4 Au 3.08
Au 0.0000 0.0000 0.0000  4 Dy 3.08, 4 Ca 3.08
Pd 0.5000 0.5000 0.5000  4 Ca 3.08, 4 Dy 3.08
Dy 0.7500 0.7500 0.7500  4 Pd 3.08, 4 Au 3.08

The volume is 22.50 Å³/atom. As for the formation energy: -797 meV/atom. As for the distance to the lowest polymorph of the same formula: 0.024 eV/atom. As for the space group: F-43m.

=====

No. 3
Density functional theory data (PBE) for a relaxed structure of HfInAu.

Unit cell a=4.5102 b=6.0050 c=6.0448 alpha=59.03 beta=90.13 gamma=68.00
Closest atoms and distances in Å follow each position.
Element x y z (fractional)
Hf 0.4463 0.8471 0.2877  3 Au 2.78-2.86, 1 In 3.11
Hf 0.1013 0.5373 0.8232  3 Au 2.78-2.86, 1 In 3.12
Au 0.4370 0.8663 0.7511  3 Hf 2.78-2.86, 2 In 2.93, 1 Au 3.04
Au 0.1107 0.5182 0.3599  3 Hf 2.78-2.86, 2 In 2.93, 1 Au 3.04
In 0.7500 0.2391 0.2784  3 Au 2.93-3.16, 2 In 3.02-3.09, 4 Hf 3.11-3.22
In 0.7976 0.1454 0.8323  3 Au 2.93-3.16, 2 In 3.02-3.09, 4 Hf 3.12-3.22

The volume is 21.03 Å³/atom. As for the formation energy: -262 meV/atom. As for the space group: P-1.

=====

No. 4
Density functional theory data (PBE) for a relaxed structure of InFeSn2Te.

Unit cell a=4.9859 b=4.9859 c=5.1276 alpha=90.00 beta=90.00 gamma=90.00
Closest atoms and distances in Å follow each position.
Element x y z (fractional)
Fe 0.0000 0.0000 0.0000  4 Sn 2.49, 2 In 2.56
Te 0.5000 0.5000 0.5000  4 In 3.53, 8 Sn 3.58
Sn 0.0000 0.5000 0.0000  2 Fe 2.49
Sn 0.5000 0.0000 0.0000  2 Fe 2.49
In 0.0000 0.0000 0.5000  2 Fe 2.56

The volume is 25.49 Å³/atom. As for the space group: P4/mmm. For the formation energy without anion corrections, the calculation gives 0.06 eV per atom.

=====

No. 5
Density functional theory data (PBE) for a relaxed structure of MgMo2Pb.

Unit cell a=2.8753 b=2.8753 c=9.2167 alpha=90.00 beta=90.00 gamma=90.00
Closest atoms and distances in Å follow each position.
Element x y z (fractional)
Mg 0.5000 0.5000 0.7500  4 Mg 2.88, 8 Mo 3.00
Mo 0.0000 0.0000 0.9894  4 Mo 2.88, 4 Mg 3.00, 4 Pb 3.15
Mo 0.0000 0.0000 0.5106  4 Mo 2.88, 4 Mg 3.00, 4 Pb 3.15
Pb 0.5000 0.5000 0.2500  4 Pb 2.88, 8 Mo 3.15

The volume is 19.05 Å³/atom. As for the formation energy: 777 meV/atom. As for the distance to the lowest polymorph of the same formula: 0.492 eV/atom. As for the space group: P4/mmm.

=====

No. 6
Density functional theory data (PBE) for a relaxed structure of KPaIrO6.

Unit cell a=7.9164 b=7.3532 c=7.6851 alpha=118.58 beta=121.00 gamma=90.00
Closest atoms and distances in Å follow each position.
Element x y z (fractional)
K 0.8894 0.6394 0.7789  5 O 3.04-3.35
K 0.1106 0.3606 0.2211  5 O 3.04-3.35
Pa 0.5000 0.0000 0.5000  6 O 2.17
Pa 0.0000 0.0000 0.5000  6 O 2.17
Ir 0.5000 0.5000 0.0000  6 O 1.91-1.94
Ir 0.5000 0.0000 0.0000  6 O 1.91-1.94
O 0.4515 0.7015 0.9030  2 Ir 1.91
O 0.8322 0.0822 0.6645  2 Pa 2.17
O 0.7962 0.0801 0.2426  1 Ir 1.94, 1 Pa 2.17
O 0.4463 0.6625 0.2426  1 Ir 1.94, 1 Pa 2.17
O 0.4463 0.0801 0.2426  1 Ir 1.94, 1 Pa 2.17
O 0.7962 0.6625 0.2426  1 Ir 1.94, 1 Pa 2.17
O 0.5485 0.2985 0.0970  2 Ir 1.91
O 0.1678 0.9178 0.3355  2 Pa 2.17
O 0.2038 0.9199 0.7574  1 Ir 1.94, 1 Pa 2.17
O 0.5537 0.3375 0.7574  1 Ir 1.94, 1 Pa 2.17
O 0.5537 0.9199 0.7574  1 Ir 1.94, 1 Pa 2.17
O 0.2038 0.3375 0.7574  1 Ir 1.94, 1 Pa 2.17

The volume is 17.68 Å³/atom. As for the space group: Imma. For the formation energy without anion corrections, the calculation gives -1.94 eV per atom.

=====

No. 7
Density functional theory data (PBE) for a relaxed structure of AcMgGa4Au2.

Unit cell a=4.5389 b=4.5389 c=9.7913 alpha=76.60 beta=76.60 gamma=60.00
Closest atoms and distances in Å follow each position.
Element x y z (fractional)
Ac 0.0000 0.0000 0.0000  8 Ga 3.23-3.53
Mg 0.5000 0.5000 0.5000  8 Ga 2.83-2.88
Ga 0.3998 0.3998 0.8005  3 Au 2.77, 1 Mg 2.83, 3 Ga 3.10
Ga 0.8752 0.8752 0.3745  3 Au 2.72, 3 Mg 2.88
Ga 0.1248 0.1248 0.6255  3 Au 2.72, 3 Mg 2.88
Ga 0.6002 0.6002 0.1995  3 Au 2.77, 1 Mg 2.83, 3 Ga 3.10
Au 0.7651 0.7651 0.7046  6 Ga 2.72-2.77
Au 0.2349 0.2349 0.2954  6 Ga 2.72-2.77

The volume is 21.04 Å³/atom. As for the formation energy: -381 meV/atom. As for the space group: R-3m.

=====

No. 8
Density functional theory data (PBE) for a relaxed structure of HfAgS3.

Unit cell a=6.4718 b=6.4718 c=6.9944 alpha=62.44 beta=62.44 gamma=60.00
Closest atoms and distances in Å follow each position.
Element x y z (fractional)
Hf 0.8352 0.8352 0.4943  6 S 2.52-2.55
Hf 0.1648 0.1648 0.5057  6 S 2.52-2.55
Ag 0.6506 0.6506 0.0482  6 S 2.60-2.75
Ag 0.3494 0.3494 0.9518  6 S 2.60-2.75
S 0.2329 0.9347 0.2604  2 Hf 2.52-2.55, 2 Ag 2.60-2.75
S 0.9347 0.5720 0.2604  2 Hf 2.52-2.55, 2 Ag 2.60-2.75
S 0.5720 0.2329 0.2604  2 Hf 2.52-2.55, 2 Ag 2.60-2.75
S 0.7671 0.0653 0.7396  2 Hf 2.52-2.55, 2 Ag 2.60-2.75
S 0.0653 0.4280 0.7396  2 Hf 2.52-2.55, 2 Ag 2.60-2.75
S 0.4280 0.7671 0.7396  2 Hf 2.52-2.55, 2 Ag 2.60-2.75

The volume is 21.45 Å³/atom. As for the space group: R-3. For the formation energy without anion corrections, the calculation gives -0.81 eV per atom.

=====

No. 9
Density functional theory data (PBE) for a relaxed structure of Ac13Tb3.

Unit cell a=7.7940 b=7.7940 c=11.1619 alpha=90.00 beta=90.00 gamma=90.42
Closest atoms and distances in Å follow each position.
Element x y z (fractional)
Ac 0.9974 0.4966 0.7542  3 Tb 3.85-3.95, 9 Ac 3.86-3.97
Ac 0.5020 0.4980 0.7524  11 Ac 3.86-3.99, 1 Tb 3.93
Ac 0.5034 0.0026 0.7542  3 Tb 3.85-3.95, 9 Ac 3.86-3.97
Ac 0.2432 0.2459 0.0000  4 Tb 3.80-3.99, 8 Ac 3.83-3.96
Ac 0.7541 0.7568 0.0000  4 Tb 3.80-3.99, 8 Ac 3.83-3.96
Ac 0.2457 0.7543 0.0000  10 Ac 3.83-3.96, 2 Tb 3.88
Ac 0.9974 0.4966 0.2458  3 Tb 3.85-3.95, 9 Ac 3.86-3.97
Ac 0.5020 0.4980 0.2476  11 Ac 3.86-3.99, 1 Tb 3.93
Ac 0.5034 0.0026 0.2458  3 Tb 3.85-3.95, 9 Ac 3.86-3.97
Ac 0.7552 0.2448 0.5000  10 Ac 3.82-3.97, 2 Tb 3.90
Ac 0.2455 0.2445 0.5000  10 Ac 3.82-3.97, 2 Tb 3.92
Ac 0.7555 0.7545 0.5000  10 Ac 3.82-3.97, 2 Tb 3.92
Ac 0.2460 0.7540 0.5000  10 Ac 3.82-3.99, 2 Tb 3.96
Tb 0.9969 0.0031 0.7550  1 Tb 3.83, 11 Ac 3.83-3.96
Tb 0.7550 0.2450 0.0000  10 Ac 3.80-3.99, 2 Tb 3.83
Tb 0.9969 0.0031 0.2450  1 Tb 3.83, 11 Ac 3.83-3.96

The volume is 42.38 Å³/atom. As for the formation energy: 37 meV/atom. As for the space group: Amm2.

=====

No. 10
Density functional theory data (PBE) for a relaxed structure of Ac3SiTe.

Unit cell a=5.9216 b=5.9216 c=5.9216 alpha=90.00 beta=90.00 gamma=90.00
Closest atoms and distances in Å follow each position.
Element x y z (fractional)
Ac 0.0000 0.5000 0.0000  2 Si 2.96
Ac 0.0000 0.0000 0.5000  2 Si 2.96
Ac 0.5000 0.0000 0.0000  2 Si 2.96
Te 0.5000 0.5000 0.5000  12 Ac 4.19
Si 0.0000 0.0000 0.0000  6 Ac 2.96

The volume is 41.53 Å³/atom. As for the distance to the lowest polymorph of the same formula: 0.408 eV/atom. As for the space group: Pm-3m. For the formation energy without anion corrections, the calculation gives -0.33 eV per atom.

=====

Computed ρ, in the same sequence as the records: 8004, 9333, 12903, 6978, 9227, 5828, 9117, 5924, 8395, 6691 kg/m3.